First-principles (PBE with a Hubbard U) data for a relaxed structure of CoI2O2, as listed in Alexandria.

CIF file:
```
data_CoI2O2
_cell_length_a 5.336
_cell_length_b 5.336
_cell_length_c 3.466
_cell_angle_alpha 90.00
_cell_angle_beta 90.00
_cell_angle_gamma 90.00
_symmetry_space_group_name_H-M 'P 4/m m m'
_symmetry_Int_Tables_number 123
_symmetry_space_group_name_Hall '-P 4 2'
loop_
_atom_site_label
_atom_site_type_symbol
_atom_site_fract_x
_atom_site_fract_y
_atom_site_fract_z
Co1 Co 0.000 0.000 0.000
I1 I 0.000 0.500 0.000
O1 O 0.000 0.000 0.500
O2 O 0.500 0.500 0.500
```

ρ = 5.80 g/cm³
raw total energy = -3.1092 eV per atom
excess energy over the best structure of this formula in the dataset = 311 meV/atom